No. 1
This record from Alexandria describes a relaxed structure of Y3TmSe4. The functional is PBE-GGA.

The structure in POSCAR format:
```
Y3TmSe4
1.0
-4.572 4.965 -2.090
-0.768 -1.108 6.955
5.500 5.702 1.516
Y Tm Se
6 2 8
direct
0.750 0.000 0.376
0.250 0.000 0.624
0.750 0.500 0.624
0.750 0.500 0.126
0.250 0.500 0.376
0.250 0.500 0.874
0.750 0.000 0.874
0.250 0.000 0.126
0.997 0.248 0.628
0.500 0.245 0.878
0.497 0.248 0.372
0.000 0.245 0.122
0.000 0.755 0.878
0.503 0.752 0.628
0.500 0.755 0.122
0.003 0.752 0.372
```

## Properties
The relative energy among the computed polymorphs is 0 meV/atom. As for the space-group type: P2/c (13). The total moment is 0.00 μB/f.u.

***

No. 2
This record from Alexandria describes a relaxed structure of YTm6Se8. The functional is PBE-GGA.

The structure in POSCAR format:
```
YTm6Se8
1.0
6.939 0.000 4.006
2.313 6.542 4.006
0.000 0.000 8.012
Y Tm Se
1 6 8
direct
0.000 0.000 0.000
0.000 0.500 0.500
0.500 0.000 0.000
0.500 0.500 0.000
0.000 0.000 0.500
0.000 0.500 0.000
0.500 0.000 0.500
0.750 0.750 0.750
0.250 0.250 0.250
0.744 0.256 0.256
0.256 0.744 0.744
0.256 0.256 0.744
0.744 0.744 0.256
0.744 0.256 0.744
0.256 0.744 0.256
```

## Properties
The relative energy among the computed polymorphs is 0 meV/atom. As for the space-group type: Fm-3m (225). The total moment is 0.00 μB/f.u.

***

No. 3
This record from Alexandria describes a relaxed structure of Y3TmSe6. The functional is PBE-GGA.

The structure in POSCAR format:
```
Y3TmSe6
1.0
6.344 0.000 3.367
2.279 5.921 3.367
-0.015 -0.010 7.689
Y Tm Se
3 1 6
direct
0.348 0.348 0.957
0.651 0.651 0.046
0.152 0.152 0.544
0.847 0.847 0.460
0.946 0.560 0.250
0.244 0.946 0.250
0.560 0.244 0.250
0.055 0.448 0.748
0.749 0.055 0.748
0.448 0.749 0.748
```

## Properties
The relative energy among the computed polymorphs is 0 meV/atom. As for the space-group type: R3 (146). The total moment is 0.00 μB/f.u.

***

No. 4
This record from Alexandria describes a relaxed structure of Y3TmSe4. The functional is PBE-GGA.

The structure in POSCAR format:
```
Y3TmSe4
1.0
-5.448 0.193 -1.850
1.811 -0.756 -5.412
-0.424 -5.703 0.655
Y Tm Se
3 1 4
direct
0.000 0.500 0.500
0.500 0.000 0.500
0.500 0.500 0.000
0.000 0.000 0.000
0.500 0.000 0.000
0.000 0.500 0.000
0.000 0.000 0.500
0.500 0.500 0.500
```

## Properties
The relative energy among the computed polymorphs is 15 meV/atom. As for the space-group type: Pm-3m (221). The total moment is 0.00 μB/f.u.

***

Results for E_form (uncorrected): -1343.4, -2572.1, -1792.9, -1332.1 (in kJ/mol of formula units, following the order of the records).
Results for mass density: 6.55, 7.92, 5.22, 6.54 (in g cm⁻³, following the order of the records).